# 1
5
Lattice="-1.0116 -3.4064 -2.9712 3.5816 -4.7492 4.2254 -4.4224 1.7867 -0.5428" Properties=species:S:1:pos:R:3 comment="NaLi3P | Alexandria via LeMat-Bulk | PBE | optimized geometry" crystal_system=orthorhombic dft_energy_ev_per_atom=-2.86 space_group=Amm2 dos_at_fermi_per_ev_cell=1.92 e_form_mev_per_atom=-362 pbc="T T T"
Na -0.7566 -4.5339 1.8450
Li -0.5161 -1.2855 1.6495
Li -2.0266 0.7175 -0.1326
Li -2.7888 -2.2132 -0.1237
P 1.5287 -2.4332 2.2691

# 2
12
Lattice="7.0362 0.0000 0.0000 0.0000 4.6741 0.0000 -3.6520 0.0000 7.0041" Properties=species:S:1:pos:R:3 comment="NaLiP | Alexandria via LeMat-Bulk | PBE | optimized geometry" crystal_system=monoclinic dft_energy_ev_per_atom=-3.33 space_group=C2/m dos_at_fermi_per_ev_cell=0.40 e_form_mev_per_atom=-450 pbc="T T T"
Na 1.8223 0.0000 5.2514
Na 1.5620 0.0000 1.7527
Na 3.6483 2.3370 1.7493
Na -0.2640 2.3370 5.2547
Li 5.5145 0.0000 1.2005
Li -2.1302 0.0000 5.8036
Li 3.6885 2.3370 4.7025
Li -0.3043 2.3370 2.3015
P 4.0602 0.0000 3.4375
P -0.6760 0.0000 3.5665
P 2.2342 2.3370 6.9396
P 1.1500 2.3370 0.0645

# 3
8
Lattice="4.1396 0.0000 0.0000 0.0000 4.1396 0.0000 2.0698 2.0698 8.7377" Properties=species:S:1:pos:R:3 comment="NaLiP2 | Alexandria via LeMat-Bulk | PBE | optimized geometry" crystal_system=tetragonal dft_energy_ev_per_atom=-3.67 space_group=I-42d dos_at_fermi_per_ev_cell=3.61 e_form_mev_per_atom=-160 pbc="T T T"
P 1.4498 1.0349 2.1844
P 2.6897 3.1047 2.1844
P 3.1047 4.7595 6.5533
P 5.1744 3.5196 6.5533
Li 2.0698 2.0698 0.0000
Li 2.0698 4.1396 4.3689
Na 0.0000 0.0000 0.0000
Na 4.1396 2.0698 4.3689

# 4
16
Lattice="5.0058 0.0000 0.0000 -2.5029 4.3352 0.0000 0.0000 0.0000 17.3302" Properties=species:S:1:pos:R:3 comment="Na5LiP2 | Alexandria via LeMat-Bulk | PBE | optimized geometry" crystal_system=hexagonal dft_energy_ev_per_atom=-2.75 space_group=P6_3/mmc dos_at_fermi_per_ev_cell=0.86 e_form_mev_per_atom=-338 pbc="T T T"
Na 0.0000 0.0000 6.4162
Na 0.0000 0.0000 2.2489
Na 2.5029 1.4451 4.3325
Na 0.0000 0.0000 15.0813
Na 2.5029 1.4451 0.8718
Na 0.0000 2.8901 12.9976
Na 0.0000 2.8901 16.4584
Na 0.0000 2.8901 9.5369
Na 2.5029 1.4451 7.7933
Na 0.0000 0.0000 10.9140
Li 0.0000 2.8901 4.3325
Li 2.5029 1.4451 12.9976
P 2.5029 1.4451 10.7063
P 0.0000 2.8901 2.0412
P 0.0000 2.8901 6.6239
P 2.5029 1.4451 15.2890